A relaxed structure of MgInCu2, computed with GGA-PBEsol.

## Properties
- Space group: P4/mmm
- Formation energy from the elements: -0.0231 eV/atom

Cell lengths 3.2036, 3.2036, 6.0301 Å; angles 90.00, 90.00, 90.00 degrees
Sites, in units of the cell vectors:
1 In 0.5000 0.5000 0.0000
2 Cu 0.0000 0.0000 0.7358
3 Cu 0.0000 0.0000 0.2642
4 Mg 0.5000 0.5000 0.5000

A relaxed structure of LiAgAu2, computed with GGA-PBEsol.

## Properties
- Distance to the lowest polymorph of the same formula: 20 meV/atom
- Space group: Pmmm
- Formation energy from the elements: -0.2958 eV/atom

Cell lengths 2.8219, 4.0491, 5.5847 Å; angles 90.00, 89.99, 90.00 degrees
Sites, in units of the cell vectors:
1 Au 0.9999 0.0000 0.7562
2 Au 0.0001 0.0000 0.2438
3 Li 0.5000 0.5000 0.0000
4 Ag 0.5000 0.5000 0.5000

A relaxed structure of Sr2LuRuO6, computed with GGA-PBEsol.

## Properties
- Space group: P2_1/c
- Formation energy without anion corrections: -2.551 eV/atom

Cell lengths 5.6942, 5.7060, 8.0461 Å; angles 90.00, 89.73, 90.00 degrees
Sites, in units of the cell vectors:
1 Ru 0.0000 0.5000 0.0000
2 Ru 0.5000 0.0000 0.5000
3 O 0.2675 0.7078 0.9657
4 O 0.2057 0.2307 0.9650
5 O 0.7943 0.7693 0.0350
6 O 0.5655 0.0128 0.7372
7 O 0.7675 0.7922 0.4657
8 O 0.4345 0.9872 0.2628
9 O 0.7325 0.2922 0.0343
10 O 0.9345 0.5128 0.7628
11 O 0.0655 0.4872 0.2372
12 O 0.7057 0.2693 0.4650
13 O 0.2325 0.2078 0.5343
14 O 0.2943 0.7307 0.5350
15 Sr 0.4939 0.4715 0.7492
16 Sr 0.0061 0.9715 0.7508
17 Sr 0.9939 0.0285 0.2492
18 Sr 0.5061 0.5285 0.2508
19 Lu 0.0000 0.5000 0.5000
20 Lu 0.5000 0.0000 0.0000

A relaxed structure of MnSi2Ag, computed with GGA-PBEsol.

## Properties
- Distance to the lowest polymorph of the same formula: 460 meV/atom
- Space group: F-43m
- Formation energy without anion corrections: 0.444 eV/atom

Cell lengths 4.3466, 4.3466, 4.3466 Å; angles 60.00, 60.00, 60.00 degrees
Sites, in units of the cell vectors:
1 Si 0.0000 0.0000 0.0000
2 Si 0.7500 0.7500 0.7500
3 Ag 0.5000 0.5000 0.5000
4 Mn 0.2500 0.2500 0.2500

A relaxed structure of LiCdSb2, computed with GGA-PBEsol.

## Properties
- Space group: P4mm
- Formation energy without anion corrections: -0.079 eV/atom

Cell lengths 3.9352, 3.9352, 6.0363 Å; angles 90.00, 90.00, 90.00 degrees
Sites, in units of the cell vectors:
1 Sb 0.0000 0.0000 0.9882
2 Sb 0.5000 0.5000 0.2530
3 Cd 0.0000 0.0000 0.5014
4 Li 0.5000 0.5000 0.7574

A relaxed structure of K4ZnRu, computed with GGA-PBEsol.

## Properties
- Space group: F-43m
- Formation energy from the elements: 1.2199 eV/atom

Cell lengths 6.7143, 6.7143, 6.7143 Å; angles 60.00, 60.00, 60.00 degrees
Sites, in units of the cell vectors:
1 K 0.3759 0.8723 0.3759
2 K 0.8723 0.3759 0.3759
3 K 0.3759 0.3759 0.8723
4 K 0.3759 0.3759 0.3759
5 Ru 0.7500 0.7500 0.7500
6 Zn 0.0000 0.0000 0.0000

A relaxed structure of Mg2AlCuAg, computed with GGA-PBEsol.

## Properties
- Space group: P4/mmm
- Formation energy from the elements: 0.7658 eV/atom

Cell lengths 4.7352, 5.0488, 5.0488 Å; angles 90.00, 90.00, 90.00 degrees
Sites, in units of the cell vectors:
1 Ag 0.5000 0.0000 0.0000
2 Mg 0.0000 0.5000 0.0000
3 Mg 0.0000 0.0000 0.5000
4 Al 0.0000 0.0000 0.0000
5 Cu 0.5000 0.5000 0.5000

A relaxed structure of ScAgS2N, computed with GGA-PBEsol.

## Properties
- Space group: P4/mmm
- Formation energy without anion corrections: 0.190 eV/atom

Cell lengths 4.0964, 4.9041, 4.9041 Å; angles 90.00, 90.00, 90.00 degrees
Sites, in units of the cell vectors:
1 Sc 0.0000 0.0000 0.0000
2 S 0.0000 0.5000 0.0000
3 S 0.0000 0.0000 0.5000
4 Ag 0.5000 0.5000 0.5000
5 N 0.5000 0.0000 0.0000

no.,size of the total moment (Bohr magnetons per cell)
1,0.0
2,0.0
3,6.0
4,3.1
5,0.0
6,2.1
7,0.0
8,2.4